No. 1
Density functional theory data (PBE) for a relaxed structure of Li3PbAu3.

Lattice parameters (Å, degrees): 6.881 6.881 6.881 90.00 90.00 90.00
Space group Pm-3n (No. 223)
One atom of each set of equivalent atoms:
Li 0.000 0.250 0.500 (multiplicity 6)
Pb 0.000 0.000 0.000 (multiplicity 2)
Au 0.000 0.500 0.250 (multiplicity 6)

Summary:
Size of the total moment in μB/atom: 0.000
Distance to the lowest polymorph of the same formula in meV per atom: 410
Crystal system: cubic
ΔH_f (0 K) in eV/atom: 0.0095

=====

No. 2
Density functional theory data (PBE) for a relaxed structure of CaCdBr2N.

Lattice parameters (Å, degrees): 5.881 5.881 3.969 90.00 90.00 90.00
Space group P4/mmm (No. 123)
One atom of each set of equivalent atoms:
Ca 0.000 0.000 0.000 (multiplicity 1)
Cd 0.500 0.500 0.000 (multiplicity 1)
Br 0.000 0.500 0.500 (multiplicity 2)
N 0.500 0.500 0.500 (multiplicity 1)

Summary:
Size of the total moment in μB/atom: 0.238
Crystal system: tetragonal
ΔE_f (raw) in eV per atom: 0.019

=====

No. 3
Density functional theory data (PBE) for a relaxed structure of HfTiNbAg.

Lattice parameters (Å, degrees): 6.647 6.647 6.647 90.00 90.00 90.00
Space group F-43m (No. 216)
One atom of each set of equivalent atoms:
Hf 0.000 0.000 0.000 (multiplicity 4)
Ti 0.000 0.000 0.500 (multiplicity 4)
Nb 0.250 0.250 0.250 (multiplicity 4)
Ag 0.250 0.250 0.750 (multiplicity 4)

Summary:
Size of the total moment in μB/atom: 0.000
Distance to the lowest polymorph of the same formula in meV per atom: 0
Crystal system: cubic
ΔH_f (0 K) in eV/atom: 0.0886

=====

No. 4
Density functional theory data (PBE) for a relaxed structure of La4Sn2Ge.

Lattice parameters (Å, degrees): 7.420 11.134 5.553 90.00 90.00 90.00
Space group Cmmm (No. 65)
One atom of each set of equivalent atoms:
La 0.223 0.000 0.000 (multiplicity 4)
La 0.250 0.250 0.500 (multiplicity 4)
Sn 0.000 0.270 0.000 (multiplicity 4)
Ge 0.000 0.000 0.500 (multiplicity 2)

Summary:
Size of the total moment in μB/atom: 0.000
Distance to the lowest polymorph of the same formula in meV per atom: 0
Crystal system: orthorhombic
ΔH_f (0 K) in eV/atom: -0.6491

=====

No. 5
Density functional theory data (PBE) for a relaxed structure of LaCe3Th2N6.

Lattice parameters (Å, degrees): 6.287 10.890 6.288 90.00 109.44 90.00
Space group C2/m (No. 12)
One atom of each set of equivalent atoms:
La 0.000 0.000 0.000 (multiplicity 2)
Ce 0.000 0.166 0.500 (multiplicity 4)
Ce 0.000 0.500 0.500 (multiplicity 2)
Th 0.000 0.333 0.000 (multiplicity 4)
N 0.239 0.500 0.257 (multiplicity 4)
N 0.241 0.327 0.742 (multiplicity 8)

Summary:
Size of the total moment in μB/atom: 0.000
Crystal system: monoclinic
ΔE_f (raw) in eV per atom: -1.511

=====

No. 6
Density functional theory data (PBE) for a relaxed structure of K2InHgN.

Lattice parameters (Å, degrees): 6.766 6.766 3.954 90.00 90.00 90.00
Space group P4/mmm (No. 123)
One atom of each set of equivalent atoms:
K 0.000 0.500 0.000 (multiplicity 2)
In 0.000 0.000 0.500 (multiplicity 1)
Hg 0.500 0.500 0.000 (multiplicity 1)
N 0.500 0.500 0.500 (multiplicity 1)

Summary:
Size of the total moment in μB/atom: 0.045
Crystal system: tetragonal
ΔE_f (raw) in eV per atom: 0.563